(1)
{"formula": "Pr5NdYEr2", "functional": "PBE-GGA", "state": "relaxed", "lattice": [[2.8449, -10.3380, 0.0000], [2.8449, 10.3380, 0.0000], [0.0000, 0.0000, 10.8102]], "species": ["Pr", "Pr", "Pr", "Pr", "Pr", "Pr", "Pr", "Pr", "Pr", "Pr", "Nd", "Nd", "Y", "Y", "Er", "Er", "Er", "Er"], "fractional_positions": [[0.0146, 0.9854, 0.5000], [0.2797, 0.7203, 0.7910], [0.2953, 0.7047, 0.1847], [0.3886, 0.6114, 0.5046], [0.4816, 0.5184, 0.2247], [0.5184, 0.4816, 0.7247], [0.6114, 0.3886, 0.0046], [0.7047, 0.2953, 0.6847], [0.7203, 0.2797, 0.2910], [0.9854, 0.0146, 0.0000], [0.2012, 0.7988, 0.4906], [0.7988, 0.2012, 0.9906], [0.4081, 0.5919, 0.9414], [0.5919, 0.4081, 0.4414], [0.1113, 0.8887, 0.2204], [0.1155, 0.8845, 0.7912], [0.8845, 0.1155, 0.2912], [0.8887, 0.1113, 0.7204]], "sg": "Cmc2_1", "formation_energy_ev_per_atom": 0.15, "total_energy_ev_per_fu": -42.93, "dos_at_fermi_per_ev_cell": 28.97}

(2)
{"formula": "U2AlZn16", "functional": "PBE-GGA", "state": "relaxed", "lattice": [[4.5019, 2.5992, 4.3786], [-4.5019, 2.5992, 4.3786], [0.0000, -5.1984, 4.3786]], "species": ["U", "U", "Al", "Zn", "Zn", "Zn", "Zn", "Zn", "Zn", "Zn", "Zn", "Zn", "Zn", "Zn", "Zn", "Zn", "Zn", "Zn", "Zn"], "fractional_positions": [[0.0000, 0.0000, 0.0000], [0.3275, 0.3275, 0.3275], [0.5630, 0.5630, 0.5630], [0.0169, 0.0169, 0.4998], [0.0169, 0.4998, 0.0169], [0.1595, 0.6655, 0.6655], [0.3102, 0.3102, 0.8234], [0.3102, 0.8234, 0.3102], [0.3645, 0.6632, 0.9621], [0.3645, 0.9621, 0.6632], [0.4998, 0.0169, 0.0169], [0.6632, 0.3645, 0.9621], [0.6632, 0.9621, 0.3645], [0.6655, 0.1595, 0.6655], [0.6655, 0.6655, 0.1595], [0.7643, 0.7643, 0.7643], [0.8234, 0.3102, 0.3102], [0.9621, 0.3645, 0.6632], [0.9621, 0.6632, 0.3645]], "sg": "R3m", "formation_energy_ev_per_atom": -0.05, "total_energy_ev_per_fu": -47.70, "dos_at_fermi_per_ev_cell": 19.45}

(3)
{"formula": "KTiIn", "functional": "PBE-GGA", "state": "relaxed", "lattice": [[3.2380, 0.0000, 0.0000], [0.0000, 3.9072, 0.0000], [-1.4241, 0.0000, 13.8884]], "species": ["K", "K", "Ti", "Ti", "In", "In"], "fractional_positions": [[0.0955, 0.2500, 0.1489], [0.9045, 0.7500, 0.8511], [0.2274, 0.2500, 0.4490], [0.7726, 0.7500, 0.5510], [0.3220, 0.2500, 0.6627], [0.6780, 0.7500, 0.3373]], "sg": "P2_1/m", "formation_energy_ev_per_atom": 0.04, "total_energy_ev_per_fu": -11.61, "dos_at_fermi_per_ev_cell": 7.27, "relative_energy_mev_per_atom": 0.6}

(4)
{"formula": "K2AgP", "functional": "PBE-GGA", "state": "relaxed", "lattice": [[4.5899, 0.0000, 0.0000], [0.0000, 2.6946, 5.3260], [0.0000, -2.6946, 5.3260]], "species": ["K", "K", "Ag", "P"], "fractional_positions": [[0.0000, 0.0000, 0.0000], [0.5000, 0.3018, 0.3018], [0.5000, 0.6227, 0.6227], [0.0000, 0.6864, 0.6864]], "sg": "Amm2", "formation_energy_ev_per_atom": -0.26, "total_energy_ev_per_fu": -11.50, "dos_at_fermi_per_ev_cell": 0.00}

(5)
{"formula": "Mn4Rh5", "functional": "PBE-GGA", "state": "relaxed", "lattice": [[-3.9993, 3.9993, 1.9215], [3.9993, -3.9993, 1.9215], [3.9993, 3.9993, -1.9215]], "species": ["Mn", "Mn", "Mn", "Mn", "Rh", "Rh", "Rh", "Rh", "Rh"], "fractional_positions": [[0.0000, 0.3266, 0.3266], [0.0000, 0.6734, 0.6734], [0.3266, 0.0000, 0.3266], [0.6734, 0.0000, 0.6734], [0.0000, 0.0000, 0.0000], [0.3321, 0.3321, 0.6643], [0.3321, 0.6679, 0.0000], [0.6679, 0.3321, 0.0000], [0.6679, 0.6679, 0.3357]], "sg": "I4/mmm", "formation_energy_ev_per_atom": -0.04, "total_energy_ev_per_fu": -73.79, "dos_at_fermi_per_ev_cell": 10.98, "relative_energy_mev_per_atom": 0.0}

(6)
{"formula": "NiRhBr", "functional": "PBE-GGA", "state": "relaxed", "lattice": [[3.2560, 0.0000, 0.0000], [-1.6280, 2.8198, 0.0000], [0.0000, 0.0000, 5.3196]], "species": ["Ni", "Rh", "Br"], "fractional_positions": [[0.0000, 0.0000, 0.0000], [0.6667, 0.3333, 0.2994], [0.3333, 0.6667, 0.6883]], "sg": "P3m1", "total_energy_ev_per_fu": -13.43, "dos_at_fermi_per_ev_cell": 4.77, "relative_energy_mev_per_atom": 0.0}